DFT (GGA-PBE) results for an optimized crystal structure of ScHg2Ge2.

Results
M_tot	0.32	μB/cell
ΔE to the lowest computed polymorph	82.5	meV/atom
energy of formation	50.7	meV per atom
space-group type	I4/mmm

```
ScHg2Ge2
1.0
-1.8451 1.8451 8.3185
1.8451 -1.8451 8.3185
1.8451 1.8451 -8.3185
Sc Hg Ge
1 2 2
direct
0.0000 0.0000 0.0000
0.4004 0.4004 0.0000
0.5996 0.5996 0.0000
0.2500 0.7500 0.5000
0.7500 0.2500 0.5000
```

***

DFT (GGA-PBE) results for an optimized crystal structure of Sc2HgGe2.

Results
M_tot	0.00	μB/cell
ΔE to the lowest computed polymorph	319.3	meV/atom
energy of formation	-252.2	meV per atom
space-group type	I4/mmm

```
Sc2HgGe2
1.0
-2.5353 2.5353 4.6518
2.5353 -2.5353 4.6518
2.5353 2.5353 -4.6518
Sc Hg Ge
2 1 2
direct
0.2500 0.7500 0.5000
0.7500 0.2500 0.5000
0.0000 0.0000 0.0000
0.3632 0.3632 0.0000
0.6368 0.6368 0.0000
```

***

no.,calculated density (g/cm3),uncorrected energy (eV/atom)
1,8.67,-3.18
2,6.05,-4.69